Below is crystalline CePaCl2F6 at its relaxed geometry, with properties calculated at the PBE level.

Summary:
Final energy   -6.402 eV/atom
Calculated volume   352.5 Å³/cell

Cell lengths 10.1372, 7.1113, 5.8151 Å; angles 90.00, 122.75, 90.00 degrees
Closest atoms and distances in Å follow each position.
Space group C2/m (No. 12)
One atom of each set of equivalent atoms:
1 Ce 0.0000 0.0000 0.0000 (multiplicity 2)  6 F 2.40
2 Pa 0.0000 0.5000 0.5000 (multiplicity 2)  6 F 2.21-2.22
3 Cl 0.2333 0.5000 0.0579 (multiplicity 4)  4 F 2.76-3.06, 1 Pa 2.80, 1 Ce 2.90
4 F 0.0276 0.2521 0.2971 (multiplicity 8)  1 Pa 2.22, 1 Ce 2.40
5 F 0.2413 0.5000 0.5912 (multiplicity 4)  1 Pa 2.21, 1 Ce 2.40